A relaxed TmAgI4 crystal. Source: Alexandria, functional PBE.

Unit cell a=6.1828 b=12.8285 c=8.5769 alpha=115.87 beta=90.00 gamma=103.94
Atoms (fractional coordinates):
Tm1 0.1852 0.3704 0.2899
Tm2 0.8148 0.6296 0.7101
Ag1 0.1740 0.3480 0.8479
Ag2 0.8260 0.6520 0.1521
I1 0.1118 0.2237 0.4768
I2 0.0815 0.1630 0.9573
I3 0.7007 0.4015 0.3315
I4 0.7184 0.4368 0.8274
I5 0.2816 0.5632 0.1726
I6 0.2993 0.5985 0.6685
I7 0.9185 0.8370 0.0427
I8 0.8882 0.7763 0.5232

SG = No. 12
energy relative to the elements, uncorrected = -913.4 meV per atom
magnetic moment = 0.0 μB per formula unit
uncorrected energy = -38.0 eV for the cell shown

=====

A relaxed TmAg2I6 crystal. Source: Alexandria, functional PBE.

Unit cell a=4.1958 b=9.0519 c=12.0608 alpha=71.04 beta=79.98 gamma=76.60
Atoms (fractional coordinates):
Tm1 0.0000 0.5000 0.5000
Ag1 0.0565 0.0693 0.8176
Ag2 0.9435 0.9307 0.1824
I1 0.6421 0.8629 0.8529
I2 0.3579 0.1371 0.1471
I3 0.0785 0.6099 0.2330
I4 0.3755 0.7406 0.5084
I5 0.9215 0.3901 0.7670
I6 0.6245 0.2594 0.4916

SG = No. 12
energy relative to the elements, uncorrected = -655.0 meV per atom
magnetic moment = 0.0 μB per formula unit
uncorrected energy = -25.4 eV for the cell shown

=====

A relaxed TmAgI4 crystal. Source: Alexandria, functional PBE.

Unit cell a=4.3248 b=7.5853 c=7.7134 alpha=93.73 beta=90.00 gamma=90.00
Atoms (fractional coordinates):
Tm1 0.5000 0.0000 0.5000
Ag1 0.0000 0.0000 0.0000
I1 0.0000 0.2423 0.6560
I2 0.5000 0.7881 0.8141
I3 0.5000 0.2119 0.1859
I4 0.0000 0.7577 0.3440

SG = No. 10
energy relative to the elements, uncorrected = -967.8 meV per atom
magnetic moment = 0.0 μB per formula unit
uncorrected energy = -19.3 eV for the cell shown

=====

A relaxed UAgI6 crystal. Source: Alexandria, functional PBE.

Unit cell a=7.5534 b=7.5544 c=8.1098 alpha=62.29 beta=62.27 gamma=59.97
Atoms (fractional coordinates):
U1 0.0000 0.0000 0.0000
Ag1 0.5000 0.5000 0.5000
I1 0.0921 0.3951 0.7529
I2 0.7594 0.0923 0.7528
I3 0.6045 0.2407 0.2473
I4 0.2406 0.9077 0.2472
I5 0.9079 0.6049 0.2471
I6 0.3955 0.7593 0.7527

SG = No. 2
energy relative to the elements, uncorrected = -594.3 meV per atom
magnetic moment = 1.0 μB per formula unit
uncorrected energy = -28.2 eV for the cell shown

=====

A relaxed UAgI5 crystal. Source: Alexandria, functional PBE.

Unit cell a=8.1365 b=8.1365 c=11.9820 alpha=67.93 beta=67.93 gamma=86.67
Atoms (fractional coordinates):
U1 0.0000 0.0000 0.0000
U2 0.0000 0.0000 0.5000
Ag1 0.3805 0.6195 0.7500
Ag2 0.6195 0.3805 0.2500
I1 0.3420 0.2345 0.8425
I2 0.3122 0.7968 0.5215
I3 0.2345 0.3420 0.3425
I4 0.9315 0.0685 0.7500
I5 0.2032 0.6878 0.9785
I6 0.7968 0.3122 0.0215
I7 0.0685 0.9315 0.2500
I8 0.7655 0.6580 0.6575
I9 0.6878 0.2032 0.4785
I10 0.6580 0.7655 0.1575

SG = No. 15
energy relative to the elements, uncorrected = -617.8 meV per atom
magnetic moment = 2.0 μB per formula unit
uncorrected energy = -52.4 eV for the cell shown

=====

A relaxed UAg3I8 crystal. Source: Alexandria, functional PBE.

Unit cell a=8.8805 b=8.8949 c=8.8751 alpha=120.19 beta=90.00 gamma=119.95
Atoms (fractional coordinates):
U1 0.0000 0.0000 0.0000
Ag1 0.5000 0.0000 0.0000
Ag2 0.5000 0.5000 0.0000
Ag3 0.0000 0.5000 0.0000
I1 0.2740 0.5480 0.8229
I2 0.7260 0.4520 0.1771
I3 0.2224 0.9873 0.7531
I4 0.7649 0.9873 0.7531
I5 0.7653 0.5306 0.7532
I6 0.2347 0.4694 0.2468
I7 0.2351 0.0127 0.2469
I8 0.7776 0.0127 0.2469

SG = No. 12
energy relative to the elements, uncorrected = -467.4 meV per atom
magnetic moment = 0.9 μB per formula unit
uncorrected energy = -37.9 eV for the cell shown

=====

A relaxed UAg2I8 crystal. Source: Alexandria, functional PBE.

Unit cell a=8.2404 b=8.3269 c=8.3269 alpha=74.24 beta=82.67 gamma=82.67
Atoms (fractional coordinates):
U1 0.0000 0.0000 0.0000
Ag1 0.7870 0.8033 0.8033
Ag2 0.2130 0.1967 0.1967
I1 0.2346 0.8336 0.2450
I2 0.2346 0.2450 0.8336
I3 0.7654 0.1664 0.7550
I4 0.3878 0.3489 0.3489
I5 0.7654 0.7550 0.1664
I6 0.1438 0.7827 0.7827
I7 0.8562 0.2173 0.2173
I8 0.6122 0.6511 0.6511

SG = No. 12
energy relative to the elements, uncorrected = -433.1 meV per atom
magnetic moment = 0.6 μB per formula unit
uncorrected energy = -34.2 eV for the cell shown

=====

A relaxed UAgI6 crystal. Source: Alexandria, functional PBE.

Unit cell a=7.6117 b=7.6131 c=7.9070 alpha=61.22 beta=78.29 gamma=65.07
Atoms (fractional coordinates):
U1 0.0000 0.0000 0.0000
Ag1 0.5000 0.5000 0.0000
I1 0.7499 0.4049 0.6907
I2 0.7499 0.0957 0.3093
I3 0.2501 0.9043 0.6907
I4 0.2501 0.5951 0.3093
I5 0.7741 0.7744 0.0000
I6 0.2259 0.2256 0.0000

SG = No. 12
energy relative to the elements, uncorrected = -607.6 meV per atom
magnetic moment = 1.0 μB per formula unit
uncorrected energy = -28.3 eV for the cell shown

=====

What is the uncorrected energy in the second record? -25.4 eV for the cell shown